Material: MnInRuO6
Method: DFT, GGA+U
State: optimized geometry

Lattice parameters (Å, degrees): 5.1547 5.1547 8.5494 90.00 90.00 120.00
Space group P-31c (No. 163)
Symmetry-distinct sites (fractional):
Mn (0.0000, 0.0000, 0.0000) [2 per cell]
In (0.3333, 0.6667, 0.2500) [2 per cell]
Ru (0.3333, 0.6667, 0.7500) [2 per cell]
O (0.0279, 0.3376, 0.6194) [12 per cell]

- Final energy: -0.466 Ry/atom